(1)
First-principles (PBE) data for a relaxed structure of MnHgSbTe2, as listed in Alexandria.

a = 5.8775 Å, b = 5.8775 Å, c = 5.3900 Å
α = 90.00°, β = 90.00°, γ = 90.00°
Space group P4/mmm (No. 123)
One atom of each set of equivalent atoms:
Mn  0.0000  0.0000  0.0000 (multiplicity 1)
Hg  0.5000  0.5000  0.0000 (multiplicity 1)
Sb  0.5000  0.5000  0.5000 (multiplicity 1)
Te  0.0000  0.5000  0.5000 (multiplicity 2)

Computed properties:
* E_form (uncorrected): 0.674 eV per atom
* total magnetic moment: 1.07 μB/atom
* distance to the lowest polymorph of the same formula: 35.45 kJ/mol of atoms
* crystal system: tetragonal
* E: -3.302 eV/atom

***

(2)
First-principles (PBE) data for a relaxed structure of MnTlHgSb2, as listed in Alexandria.

a = 5.1348 Å, b = 5.1348 Å, c = 5.2777 Å
α = 90.00°, β = 90.00°, γ = 90.00°
Space group P4/mmm (No. 123)
One atom of each set of equivalent atoms:
Mn  0.0000  0.0000  0.0000 (multiplicity 1)
Tl  0.5000  0.5000  0.5000 (multiplicity 1)
Hg  0.0000  0.0000  0.5000 (multiplicity 1)
Sb  0.0000  0.5000  0.0000 (multiplicity 2)

Computed properties:
* E_form (uncorrected): 0.200 eV per atom
* total magnetic moment: 0.55 μB/atom
* crystal system: tetragonal
* E: -3.817 eV/atom

***

(3)
First-principles (PBE) data for a relaxed structure of ZrMnHgSb2, as listed in Alexandria.

a = 5.4435 Å, b = 5.4435 Å, c = 5.4362 Å
α = 90.00°, β = 90.00°, γ = 90.00°
Space group P4/mmm (No. 123)
One atom of each set of equivalent atoms:
Zr  0.0000  0.0000  0.0000 (multiplicity 1)
Mn  0.5000  0.5000  0.0000 (multiplicity 1)
Hg  0.0000  0.0000  0.5000 (multiplicity 1)
Sb  0.0000  0.5000  0.5000 (multiplicity 2)

Computed properties:
* E_form (uncorrected): 1.186 eV per atom
* total magnetic moment: 0.72 μB/atom
* crystal system: tetragonal
* E: -4.067 eV/atom

***

(4)
First-principles (PBE) data for a relaxed structure of ScMnHg, as listed in Alexandria.

a = 6.5523 Å, b = 6.5523 Å, c = 6.5523 Å
α = 90.00°, β = 90.00°, γ = 90.00°
Space group F-43m (No. 216)
One atom of each set of equivalent atoms:
Sc  0.0000  0.0000  0.0000 (multiplicity 4)
Mn  0.2500  0.2500  0.7500 (multiplicity 4)
Hg  0.2500  0.2500  0.2500 (multiplicity 4)

Computed properties:
* total magnetic moment: 1.27 μB/atom
* crystal system: cubic
* E: -4.751 eV/atom
* DFT formation energy: 49.84 kJ per mole of atoms

***

(5)
First-principles (PBE) data for a relaxed structure of ScMnHg2, as listed in Alexandria.

a = 3.4429 Å, b = 4.8167 Å, c = 9.7850 Å
α = 90.00°, β = 90.00°, γ = 90.00°
Space group Imm2 (No. 44)
One atom of each set of equivalent atoms:
Sc  0.0000  0.0000  0.0000 (multiplicity 2)
Mn  0.0000  0.5000  0.2541 (multiplicity 2)
Hg  0.0000  0.0000  0.5146 (multiplicity 2)
Hg  0.0000  0.5000  0.7596 (multiplicity 2)

Computed properties:
* total magnetic moment: 0.85 μB/atom
* crystal system: orthorhombic
* E: -3.998 eV/atom
* DFT formation energy: 2.73 kJ per mole of atoms

***

(6)
First-principles (PBE) data for a relaxed structure of ScMnHg4, as listed in Alexandria.

a = 8.1486 Å, b = 8.1486 Å, c = 8.1486 Å
α = 90.00°, β = 90.00°, γ = 90.00°
Space group F-43m (No. 216)
One atom of each set of equivalent atoms:
Sc  0.0000  0.0000  0.0000 (multiplicity 4)
Mn  0.2500  0.2500  0.2500 (multiplicity 4)
Hg  0.1250  0.1250  0.6250 (multiplicity 16)

Computed properties:
* total magnetic moment: 0.55 μB/atom
* crystal system: cubic
* E: -2.493 eV/atom
* DFT formation energy: 28.13 kJ per mole of atoms

***

(7)
First-principles (PBE) data for a relaxed structure of Sc6Mn2Hg, as listed in Alexandria.

a = 8.8665 Å, b = 8.9026 Å, c = 9.3397 Å
α = 90.00°, β = 90.00°, γ = 90.00°
Space group Immm (No. 71)
One atom of each set of equivalent atoms:
Sc  0.0000  0.2091  0.1869 (multiplicity 8)
Sc  0.1893  0.2143  0.5000 (multiplicity 8)
Sc  0.2150  0.5000  0.2633 (multiplicity 8)
Mn  0.0000  0.0000  0.3878 (multiplicity 4)
Mn  0.1204  0.0000  0.0000 (multiplicity 4)
Hg  0.0000  0.5000  0.0000 (multiplicity 2)
Hg  0.0000  0.5000  0.5000 (multiplicity 2)

Computed properties:
* total magnetic moment: 0.17 μB/atom
* crystal system: orthorhombic
* E: -6.413 eV/atom
* DFT formation energy: -11.67 kJ per mole of atoms

***

(8)
First-principles (PBE) data for a relaxed structure of ScMnHg, as listed in Alexandria.

a = 4.0507 Å, b = 4.0507 Å, c = 14.5918 Å
α = 90.00°, β = 90.00°, γ = 90.00°
Space group I4/mmm (No. 139)
One atom of each set of equivalent atoms:
Sc  0.0000  0.0000  0.1653 (multiplicity 4)
Mn  0.0000  0.5000  0.0000 (multiplicity 4)
Hg  0.0000  0.0000  0.3682 (multiplicity 4)

Computed properties:
* total magnetic moment: 0.93 μB/atom
* crystal system: tetragonal
* E: -5.282 eV/atom
* DFT formation energy: -1.37 kJ per mole of atoms

***

What is the total magnetic moment in the seventh record?
0.17 μB/atom

***

Look up the E of the sixth one.
-2.493 eV/atom